1.
Here is crystalline LaVZn2O at its relaxed geometry from the Alexandria database. Energies are from GGA+U.

```
5
Lattice="-1.207 -0.127 -4.544 -3.622 -4.401 1.085 -3.470 3.062 0.837" Properties=species:S:1:pos:R:3 pbc="T T T"
Zn -0.604 -0.063 -2.272
Zn -1.735 1.531 0.418
La -1.811 -2.200 0.542
V 0.000 0.000 0.000
O -4.150 -0.733 -1.311
```

Results
Offset from the most stable computed form   814 meV per atom



2.
Here is crystalline LaZr2VO8 at its relaxed geometry from the Alexandria database. Energies are from GGA+U.

```
12
Lattice="4.931 0.061 -0.003 0.102 4.923 -0.006 0.004 0.007 6.663" Properties=species:S:1:pos:R:3 pbc="T T T"
O 1.027 3.987 1.328
O 1.029 3.992 5.325
O 4.011 1.004 5.326
O 3.388 3.373 3.325
O 4.008 1.000 1.329
O 1.472 1.453 -0.002
O 3.565 3.539 6.656
O 1.649 1.618 3.329
Zr 2.518 2.494 1.595
Zr 2.519 2.497 5.059
La 0.002 0.004 3.331
V 0.000 0.000 0.000
```



Taking the records one at a time from the top gives calculated volume values of 128, 162 Å³ per cell.
Taking the records one at a time from the top gives electronic total energy values of -3.33, -8.59 eV per atom.
Taking the records one at a time from the top gives ρ values of 4.36, 5.14 g/cm³.